3
Lattice="0.000 3.069 3.069 3.069 0.000 3.069 3.069 3.069 0.000" Properties=species:S:1:pos:R:3 comment="TaTlCu, optimized geometry, DFT PBE" dos_ef_per_ev_atom=0.834 volume_a3_per_atom=19.27 dft_energy_ev_per_cell=-16.27 formation_energy_kj_per_mol_fu=197 pbc="T T T"
Ta 0.000 0.000 0.000
Tl 3.069 3.069 3.069
Cu 1.534 1.534 1.534